Below is crystalline K3Ca2PuO6 at its relaxed geometry, with properties calculated at the PBE level.

Output
**Formation energy (no corrections)**: -2.43 eV/atom

Cell: 6.051 6.051 6.537 Å, 98.90 98.90 119.99°
Fractional positions:
K (0.171, 0.829, 0.500)
K (0.829, 0.171, 0.500)
K (0.500, 0.500, 0.500)
Ca (0.333, 0.667, 0.000)
Ca (0.667, 0.333, 0.000)
Pu (0.000, 0.000, 0.000)
O (0.937, 0.633, 0.812)
O (0.760, 0.760, 0.188)
O (0.063, 0.367, 0.188)
O (0.633, 0.937, 0.812)
O (0.240, 0.240, 0.812)
O (0.367, 0.063, 0.188)

=====

Below is crystalline KCaPu2O8 at its relaxed geometry, with properties calculated at the PBE level.

Output
**Formation energy (no corrections)**: -2.23 eV/atom

Cell: 6.019 6.019 7.022 Å, 90.00 90.00 120.00°
Fractional positions:
K (0.000, 0.000, 0.500)
Ca (0.000, 0.000, 0.000)
Pu (0.667, 0.333, 0.057)
Pu (0.333, 0.667, 0.943)
O (0.945, 0.623, 0.876)
O (0.377, 0.322, 0.876)
O (0.678, 0.055, 0.876)
O (0.055, 0.377, 0.124)
O (0.623, 0.678, 0.124)
O (0.322, 0.945, 0.124)
O (0.667, 0.333, 0.323)
O (0.333, 0.667, 0.677)

=====

Below is crystalline K2Ca2PuO6 at its relaxed geometry, with properties calculated at the PBE level.

Output
**Formation energy (no corrections)**: -2.53 eV/atom

Cell: 5.938 5.938 6.630 Å, 99.13 99.13 118.90°
Fractional positions:
K (0.827, 0.173, 0.000)
K (0.173, 0.827, 0.000)
Ca (0.336, 0.664, 0.500)
Ca (0.664, 0.336, 0.500)
Pu (0.000, 0.000, 0.500)
O (0.772, 0.772, 0.678)
O (0.053, 0.357, 0.677)
O (0.228, 0.228, 0.322)
O (0.357, 0.053, 0.677)
O (0.947, 0.643, 0.323)
O (0.643, 0.947, 0.323)

=====

Below is crystalline K2CaReO4 at its relaxed geometry, with properties calculated at the PBE level.

Output
**Formation energy (no corrections)**: -1.78 eV/atom

Cell: 5.752 5.752 5.752 Å, 99.76 114.54 114.54°
Fractional positions:
K (0.500, 0.750, 0.250)
K (0.000, 0.000, 0.000)
Ca (0.500, 0.250, 0.750)
Re (0.000, 0.500, 0.500)
O (0.592, 0.287, 0.403)
O (0.116, 0.305, 0.713)
O (0.884, 0.597, 0.190)
O (0.408, 0.810, 0.695)

=====

Q: What is the formation energy (no corrections) in the third record?
A: -2.53 eV/atom

=====

Q: What is the formula in the fourth record?
A: K2CaReO4